1.
A relaxed structure of TaNF3, computed with GGA-PBEsol.

## Properties
M_tot = 1.76 μB per cell
raw total energy = -6.351 eV/atom

abc: 4.014 4.014 4.014
angles: 90.00 90.00 90.00
Fractional coordinates of all 5 atoms:
1 Ta 0.000 0.000 0.000
2 N 0.500 0.500 0.500
3 F 0.000 0.000 0.500
4 F 0.000 0.500 0.000
5 F 0.500 0.000 0.000

=====

2.
A relaxed structure of TaTlN2F, computed with GGA-PBEsol.

## Properties
M_tot = 0.37 μB per cell
raw total energy = -7.590 eV/atom

abc: 4.086 4.086 4.169
angles: 90.00 90.00 90.00
Fractional coordinates of all 5 atoms:
1 Ta 0.000 0.000 0.000
2 Tl 0.500 0.500 0.500
3 N 0.000 0.500 0.000
4 N 0.500 0.000 0.000
5 F 0.000 0.000 0.500

=====

> Look up the M_tot of the first one.

1.76 μB per cell

=====

Copy entry 1 word for word.
A relaxed structure of TaNF3, computed with GGA-PBEsol.

## Properties
M_tot = 1.76 μB per cell
raw total energy = -6.351 eV/atom

abc: 4.014 4.014 4.014
angles: 90.00 90.00 90.00
Fractional coordinates of all 5 atoms:
1 Ta 0.000 0.000 0.000
2 N 0.500 0.500 0.500
3 F 0.000 0.000 0.500
4 F 0.000 0.500 0.000
5 F 0.500 0.000 0.000

=====

> What is the M_tot in the second record?

0.37 μB per cell

=====

> Which of these has the lowest M_tot?

TaTlN2F